No. 1
# NpNiGe

A geometry-optimized NpNiGe structure (PBE-GGA, the Open Quantum Materials Database).

Computed properties:
The space group is F-43m, No. 216. For the electronic total energy, the calculation gives -6.92 eV/atom.

Geometry as POSCAR:
```
NpNiGe
1.0
0.000 3.154 3.154
3.154 0.000 3.154
3.154 3.154 0.000
Ge Ni Np
1 1 1
direct
0.250 0.250 0.250 Ge
0.750 0.750 0.750 Ni
0.000 0.000 0.000 Np
```

=====

No. 2
# NiGe2Os

A geometry-optimized NiGe2Os structure (PBE-GGA, the Open Quantum Materials Database).

Computed properties:
The space group is F-43m, No. 216. For the electronic total energy, the calculation gives -6.06 eV/atom.

Geometry as POSCAR:
```
NiGe2Os
1.0
2.180 1.259 3.560
-2.180 1.259 3.560
0.000 -2.517 3.560
Ge Ni Os
2 1 1
direct
0.000 0.000 0.000 Ge
0.250 0.250 0.250 Ge
0.750 0.750 0.750 Ni
0.500 0.500 0.500 Os
```

=====

No. 3
# NiGeOs2

A geometry-optimized NiGeOs2 structure (PBE-GGA, the Open Quantum Materials Database).

Computed properties:
The space group is F-43m, No. 216. For the electronic total energy, the calculation gives -7.75 eV/atom.

Geometry as POSCAR:
```
NiGeOs2
1.0
0.000 3.026 3.026
3.026 0.000 3.026
3.026 3.026 0.000
Ge Ni Os
1 1 2
direct
0.500 0.500 0.500 Ge
0.250 0.250 0.250 Ni
0.000 0.000 0.000 Os
0.750 0.750 0.750 Os
```

=====

No. 4
# NiGeOs

A geometry-optimized NiGeOs structure (PBE-GGA, the Open Quantum Materials Database).

Computed properties:
The space group is F-43m, No. 216. For the electronic total energy, the calculation gives -6.91 eV/atom.

Geometry as POSCAR:
```
NiGeOs
1.0
0.000 2.822 2.822
2.822 0.000 2.822
2.822 2.822 0.000
Ge Ni Os
1 1 1
direct
0.000 0.000 0.000 Ge
0.250 0.250 0.250 Ni
0.750 0.750 0.750 Os
```

=====

No. 5
# ScNiGeOs

A geometry-optimized ScNiGeOs structure (PBE-GGA, the Open Quantum Materials Database).

Computed properties:
The space group is F-43m, No. 216. For the electronic total energy, the calculation gives -6.83 eV/atom.

Geometry as POSCAR:
```
ScNiGeOs
1.0
3.743 -2.174 0.874
-0.028 -4.404 0.321
1.911 -2.455 -3.134
Ge Ni Os Sc
1 1 1 1
direct
0.000 0.000 0.000 Ge
0.750 0.750 0.750 Ni
0.500 0.500 0.500 Os
0.250 0.250 0.250 Sc
```

=====

No. 6
# TaNiGeOs

A geometry-optimized TaNiGeOs structure (PBE-GGA, the Open Quantum Materials Database).

Computed properties:
The space group is F-43m, No. 216. For the electronic total energy, the calculation gives -8.19 eV/atom.

Geometry as POSCAR:
```
TaNiGeOs
1.0
-0.619 -0.386 4.307
-3.671 -1.810 1.525
0.126 -3.941 1.881
Ge Ni Os Ta
1 1 1 1
direct
0.000 0.000 0.000 Ge
0.750 0.750 0.750 Ni
0.500 0.500 0.500 Os
0.250 0.250 0.250 Ta
```

=====

No. 7
# Si17NiGe13P

A geometry-optimized Si17NiGe13P structure (PBE-GGA, the Open Quantum Materials Database).

Computed properties:
The value obtained for the excess energy over the best structure of this formula in the dataset is 47 meV per atom. The space group is Pm, No. 6. For the electronic total energy, the calculation gives -5.04 eV/atom.

Geometry as POSCAR:
```
Si17NiGe13P
1.0
5.526 0.000 0.000
0.000 3.954 0.000
-0.001 0.000 31.180
Ge Ni P Si
13 1 1 17
direct
0.755 0.000 0.003 Ge
0.994 0.500 0.125 Ge
0.266 0.500 0.189 Ge
0.993 0.500 0.373 Ge
0.256 0.500 0.437 Ge
0.008 0.500 0.503 Ge
0.742 0.000 0.503 Ge
0.966 0.500 0.624 Ge
0.257 0.500 0.686 Ge
0.752 0.000 0.748 Ge
0.992 0.500 0.873 Ge
0.504 0.000 0.937 Ge
0.242 0.500 0.938 Ge
0.758 0.000 0.625 Ni
0.514 0.000 0.189 P
0.004 0.500 0.002 Si
0.253 0.500 0.063 Si
0.491 0.000 0.066 Si
0.744 0.000 0.127 Si
0.756 0.000 0.250 Si
0.996 0.500 0.250 Si
0.493 0.000 0.310 Si
0.251 0.500 0.311 Si
0.741 0.000 0.373 Si
0.506 0.000 0.436 Si
0.259 0.500 0.566 Si
0.500 0.000 0.569 Si
0.511 0.000 0.681 Si
0.005 0.500 0.749 Si
0.254 0.500 0.811 Si
0.493 0.000 0.811 Si
0.743 0.000 0.873 Si
```

=====

No. 8
# Si17NiGe13P

A geometry-optimized Si17NiGe13P structure (PBE-GGA, the Open Quantum Materials Database).

Computed properties:
The value obtained for the excess energy over the best structure of this formula in the dataset is 14 meV per atom. The space group is Pm, No. 6. For the electronic total energy, the calculation gives -5.08 eV/atom.

Geometry as POSCAR:
```
Si17NiGe13P
1.0
-1.073 -5.264 -1.327
3.666 -0.987 0.952
-9.045 -5.044 29.596
Ge Ni P Si
13 1 1 17
direct
0.242 0.500 0.001 Ge
0.005 0.000 0.124 Ge
0.757 0.000 0.189 Ge
0.492 0.500 0.189 Ge
0.009 0.000 0.374 Ge
0.753 0.000 0.438 Ge
0.275 0.500 0.502 Ge
0.008 0.000 0.504 Ge
0.276 0.500 0.629 Ge
0.214 0.500 0.747 Ge
0.992 0.000 0.870 Ge
0.487 0.500 0.936 Ge
0.751 0.000 0.936 Ge
0.736 0.000 0.681 Ni
0.004 0.000 0.629 P
0.990 0.000 0.001 Si
0.744 0.000 0.061 Si
0.504 0.500 0.063 Si
0.256 0.500 0.124 Si
0.005 0.000 0.252 Si
0.246 0.500 0.252 Si
0.748 0.000 0.312 Si
0.505 0.500 0.313 Si
0.262 0.500 0.374 Si
0.502 0.500 0.437 Si
0.528 0.500 0.566 Si
0.772 0.000 0.568 Si
0.538 0.500 0.695 Si
0.947 0.000 0.743 Si
0.724 0.000 0.808 Si
0.481 0.500 0.810 Si
0.245 0.500 0.871 Si
```